The following is a PBE calculation of a relaxed AsPt2S crystal, from the Alexandria database.

abc: 6.5231 6.5231 6.5231
angles: 128.06 128.06 76.53
Closest atoms and distances in Å follow each position.
Fractional coordinates of all 8 atoms:
As 0.0000 0.0000 0.0000  4 Pt 2.45
As 0.7500 0.2500 0.5000  4 Pt 2.45
Pt 0.1412 0.6250 0.0162  2 S 2.34, 2 As 2.45
Pt 0.3750 0.3912 0.5162  2 S 2.34, 2 As 2.45
Pt 0.6088 0.1250 0.9838  2 S 2.34, 2 As 2.45
Pt 0.8750 0.8588 0.4838  2 S 2.34, 2 As 2.45
S 0.2500 0.7500 0.5000  4 Pt 2.34
S 0.5000 0.5000 0.0000  4 Pt 2.34

Computed properties:
E = -5.31 eV per atom
DOS at the Fermi energy = 0.77 states/eV per atom
Formation energy without anion corrections = -99 meV per atom
Theoretical density = 9.88 g/cm3
Volume = 20.90 Å³/atom